Record 1
Compound: YPbBr2
Source: the Alexandria database
Functional: meta-GGA SCAN
Structure: single point on PBEsol structure

POSCAR file:
```
YPbBr2
1.0
3.771 0.000 0.000
0.000 5.326 0.000
-1.886 0.000 5.361
Br Pb Y
2 1 1
Direct
0.609 0.500 0.218 Br
0.188 0.000 0.375 Br
0.914 0.000 0.828 Pb
0.313 0.500 0.625 Y
```

Results
E above lowest polymorph: 50 meV per atom
Total energy: -147.02 eV per formula unit
ΔE_f (raw): -1.119 eV/atom
Total moment: 0.000 μB/f.u.

Record 2
Compound: SiAu
Source: the Alexandria database
Functional: meta-GGA SCAN
Structure: single point on PBEsol structure

POSCAR file:
```
SiAu
1.0
-0.219 -3.078 1.003
1.466 -2.360 -1.675
6.345 -0.943 3.740
Au Si
2 2
Direct
0.883 0.883 0.350 Au
0.117 0.117 0.650 Au
0.373 0.373 0.880 Si
0.627 0.627 0.120 Si
```

Results
Total energy: -79.07 eV per formula unit
ΔE_f (raw): 0.050 eV/atom
Total moment: 0.000 μB/f.u.

Record 3
Compound: TlCrRu3
Source: the Alexandria database
Functional: meta-GGA SCAN
Structure: single point on PBEsol structure

POSCAR file:
```
TlCrRu3
1.0
-2.096 -3.302 -2.009
1.731 -2.846 2.870
-3.455 0.577 2.657
Cr Ru Tl
1 3 1
Direct
0.000 0.000 0.000 Cr
0.000 0.500 0.000 Ru
0.500 0.000 0.000 Ru
0.000 0.000 0.500 Ru
0.500 0.500 0.500 Tl
```

Results
Total energy: -189.12 eV per formula unit
E_form: 1220 meV/atom
Total moment: 0.001 μB/f.u.

Record 4
Compound: K2Al
Source: the Alexandria database
Functional: meta-GGA SCAN
Structure: single point on PBEsol structure

POSCAR file:
```
K2Al
1.0
3.346 0.000 0.000
0.000 5.871 0.000
-1.673 -2.935 5.591
K Al
2 1
Direct
0.659 0.659 0.318 K
0.341 0.341 0.682 K
0.000 0.000 0.000 Al
```

Results
Total energy: -23.33 eV per formula unit
E_form: 360 meV/atom
Total moment: 0.000 μB/f.u.

Record 5
Compound: TlPd2Cl
Source: the Alexandria database
Functional: meta-GGA SCAN
Structure: single point on PBEsol structure

POSCAR file:
```
TlPd2Cl
1.0
4.618 0.000 0.000
2.309 3.999 0.000
2.309 1.333 3.770
Pd Cl Tl
2 1 1
Direct
0.250 0.250 0.250 Pd
0.750 0.750 0.750 Pd
0.000 0.000 0.000 Cl
0.500 0.500 0.500 Tl
```

Results
Total energy: -145.97 eV per formula unit
ΔE_f (raw): -0.022 eV/atom
Total moment: 0.000 μB/f.u.

Record 6
Compound: TaSiSn2H
Source: the Alexandria database
Functional: meta-GGA SCAN
Structure: single point on PBEsol structure

POSCAR file:
```
TaSiSn2H
1.0
-3.356 -2.810 2.134
-0.194 -3.049 -4.320
3.829 -3.062 1.989
H Si Sn Ta
1 1 2 1
Direct
0.500 0.500 0.500 H
0.500 0.000 0.000 Si
0.000 0.000 0.500 Sn
0.000 0.500 0.000 Sn
0.000 0.000 0.000 Ta
```

Results
Total energy: -147.59 eV per formula unit
Total moment: 1.013 μB/f.u.

Record 7
Compound: Sb2TeCl
Source: the Alexandria database
Functional: meta-GGA SCAN
Structure: single point on PBEsol structure

POSCAR file:
```
Sb2TeCl
1.0
-2.688 2.680 -0.888
0.894 -0.593 -4.498
-3.908 -4.002 -0.250
Cl Sb Te
1 2 1
Direct
0.000 0.500 0.500 Cl
0.000 0.000 0.000 Sb
0.500 0.000 0.500 Sb
0.500 0.500 0.000 Te
```

Results
E above lowest polymorph: 248 meV per atom
Total energy: -119.21 eV per formula unit
ΔE_f (raw): 0.135 eV/atom
Total moment: 0.001 μB/f.u.

Record 8
Compound: Li2TlIn
Source: the Alexandria database
Functional: meta-GGA SCAN
Structure: single point on PBEsol structure

POSCAR file:
```
Li2TlIn
1.0
-2.768 -3.780 -0.918
0.700 -2.565 -3.965
1.806 -4.409 0.297
Li In Tl
2 1 1
Direct
0.250 0.250 0.250 Li
0.750 0.750 0.750 Li
0.500 0.500 0.500 In
0.000 0.000 0.000 Tl
```

Results
Total energy: -111.90 eV per formula unit
E_form: -344 meV/atom
Total moment: 0.000 μB/f.u.

Record 9
Compound: CuRe2Si
Source: the Alexandria database
Functional: meta-GGA SCAN
Structure: single point on PBEsol structure

POSCAR file:
```
CuRe2Si
1.0
2.938 0.000 0.000
0.000 2.938 0.000
0.000 0.000 6.043
Re Cu Si
2 1 1
Direct
0.000 0.000 0.767 Re
0.000 0.000 0.233 Re
0.500 0.500 0.500 Cu
0.500 0.500 0.000 Si
```

Results
Total energy: -166.71 eV per formula unit
ΔE_f (raw): 0.175 eV/atom
Total moment: 0.000 μB/f.u.

Record 10
Compound: CaTb2Mn3O9
Source: the Alexandria database
Functional: meta-GGA SCAN
Structure: single point on PBEsol structure

POSCAR file:
```
CaTb2Mn3O9
1.0
-0.517 3.644 3.738
-7.258 0.717 -1.703
-3.705 -11.679 10.874
Mn O Tb Ca
12 36 8 4
Direct
0.999 0.499 0.834 Mn
0.501 0.499 0.334 Mn
0.499 0.999 0.666 Mn
0.001 0.999 0.166 Mn
0.501 0.001 0.334 Mn
0.500 0.500 0.000 Mn
0.499 0.501 0.666 Mn
0.000 0.000 0.500 Mn
0.001 0.501 0.166 Mn
0.500 0.000 0.000 Mn
0.999 0.001 0.834 Mn
0.000 0.500 0.500 Mn
0.205 0.555 0.402 O
0.803 0.459 0.935 O
0.705 0.445 0.098 O
0.581 0.750 0.674 O
0.092 0.250 0.492 O
0.795 0.445 0.598 O
0.697 0.459 0.435 O
0.795 0.055 0.598 O
0.205 0.945 0.402 O
0.303 0.959 0.565 O
0.292 0.956 0.236 O
0.592 0.750 0.008 O
0.208 0.544 0.736 O
0.919 0.750 0.174 O
0.303 0.541 0.565 O
0.292 0.544 0.236 O
0.295 0.555 0.902 O
0.404 0.250 0.658 O
0.697 0.041 0.435 O
0.908 0.750 0.508 O
0.295 0.945 0.902 O
0.792 0.456 0.264 O
0.208 0.956 0.736 O
0.803 0.041 0.935 O
0.708 0.456 0.764 O
0.408 0.250 0.992 O
0.419 0.250 0.326 O
0.197 0.959 0.065 O
0.705 0.055 0.098 O
0.197 0.541 0.065 O
0.904 0.750 0.842 O
0.596 0.750 0.342 O
0.081 0.250 0.826 O
0.708 0.044 0.764 O
0.096 0.250 0.158 O
0.792 0.044 0.264 O
0.517 0.250 0.189 Tb
0.014 0.750 0.980 Tb
0.483 0.750 0.811 Tb
0.983 0.250 0.689 Tb
0.017 0.750 0.311 Tb
0.486 0.750 0.480 Tb
0.514 0.250 0.520 Tb
0.986 0.250 0.020 Tb
0.513 0.250 0.852 Ca
0.013 0.750 0.648 Ca
0.987 0.250 0.352 Ca
0.487 0.750 0.148 Ca
```

Results
Total energy: -258.86 eV per formula unit
ΔE_f (raw): -2.988 eV/atom
Total moment: 11.000 μB/f.u.

Record 11
Compound: HgTeCl2
Source: the Alexandria database
Functional: meta-GGA SCAN
Structure: single point on PBEsol structure

POSCAR file:
```
HgTeCl2
1.0
4.128 0.000 0.000
2.064 3.575 0.000
2.064 1.192 7.625
Cl Te Hg
2 1 1
Direct
0.773 0.773 0.681 Cl
0.984 0.984 0.049 Cl
0.242 0.242 0.274 Te
0.501 0.501 0.496 Hg
```

Results
E above lowest polymorph: 0 meV per atom
Total energy: -121.87 eV per formula unit
ΔE_f (raw): -0.125 eV/atom
Total moment: 2.010 μB/f.u.

Record 12
Compound: MgB2N2
Source: the Alexandria database
Functional: meta-GGA SCAN
Structure: single point on PBEsol structure

POSCAR file:
```
MgB2N2
1.0
-1.997 0.818 -1.495
0.883 -4.596 -3.693
-3.768 -3.312 3.220
B N Mg
4 4 2
Direct
0.500 0.896 0.396 B
0.500 0.104 0.604 B
0.500 0.396 0.104 B
0.500 0.604 0.896 B
0.000 0.822 0.322 N
0.000 0.178 0.678 N
0.000 0.322 0.178 N
0.000 0.678 0.822 N
0.000 0.500 0.500 Mg
0.000 0.000 0.000 Mg
```

Results
Total energy: -40.81 eV per formula unit
ΔE_f (raw): -0.479 eV/atom
Total moment: 0.000 μB/f.u.

Record 13
Compound: KZnRu2
Source: the Alexandria database
Functional: meta-GGA SCAN
Structure: single point on PBEsol structure

POSCAR file:
```
KZnRu2
1.0
2.631 0.000 0.000
0.000 4.097 0.000
0.000 0.000 7.195
Zn Ru K
1 2 1
Direct
0.500 0.500 0.000 Zn
0.000 0.000 0.161 Ru
0.000 0.000 0.839 Ru
0.500 0.500 0.500 K
```

Results
Total energy: -88.57 eV per formula unit
E_form: 733 meV/atom
Total moment: 2.000 μB/f.u.

Record 14
Compound: WAuNO2
Source: the Alexandria database
Functional: meta-GGA SCAN
Structure: single point on PBEsol structure

POSCAR file:
```
WAuNO2
1.0
3.946 0.000 0.000
0.000 3.984 0.000
0.000 0.000 3.984
O W Au N
2 1 1 1
Direct
0.000 0.500 0.000 O
0.000 0.000 0.500 O
0.500 0.500 0.500 W
0.000 0.000 0.000 Au
0.500 0.000 0.000 N
```

Results
Total energy: -152.87 eV per formula unit
ΔE_f (raw): 1.546 eV/atom
Total moment: 2.720 μB/f.u.

Record 15
Compound: FeMoW2
Source: the Alexandria database
Functional: meta-GGA SCAN
Structure: single point on PBEsol structure

POSCAR file:
```
FeMoW2
1.0
-1.646 3.917 0.917
-3.256 0.375 2.856
0.718 1.803 3.890
Mo Fe W
1 1 2
Direct
0.250 0.250 0.250 Mo
0.500 0.500 0.500 Fe
0.000 0.000 0.000 W
0.750 0.750 0.750 W
```

Results
E above lowest polymorph: 68 meV per atom
Total energy: -191.80 eV per formula unit
E_form: 147 meV/atom
Total moment: 2.133 μB/f.u.

Record 16
Compound: Tc2Pt2I
Source: the Alexandria database
Functional: meta-GGA SCAN
Structure: single point on PBEsol structure

POSCAR file:
```
Tc2Pt2I
1.0
-1.197 2.954 1.968
0.585 -1.884 3.184
6.096 1.657 -2.344
Pt Tc I
2 2 1
Direct
0.250 0.750 0.500 Pt
0.750 0.250 0.500 Pt
0.401 0.401 0.802 Tc
0.599 0.599 0.198 Tc
0.000 0.000 0.000 I
```

Results
Total energy: -244.64 eV per formula unit
ΔE_f (raw): 0.521 eV/atom
Total moment: 0.000 μB/f.u.

Record 17
Compound: InW2Se
Source: the Alexandria database
Functional: meta-GGA SCAN
Structure: single point on PBEsol structure

POSCAR file:
```
InW2Se
1.0
-1.202 -1.509 -2.484
4.229 -0.806 -1.556
0.111 -3.935 2.336
W Se In
2 1 1
Direct
0.000 0.500 0.000 W
0.000 0.000 0.500 W
0.500 0.500 0.500 Se
0.500 0.000 0.000 In
```

Results
E above lowest polymorph: 346 meV per atom
Total energy: -188.89 eV per formula unit
ΔE_f (raw): 0.988 eV/atom
Total moment: 0.000 μB/f.u.

Record 18
Compound: MnAu2
Source: the Alexandria database
Functional: meta-GGA SCAN
Structure: single point on PBEsol structure

POSCAR file:
```
MnAu2
1.0
-2.517 -2.181 -0.039
0.257 -0.356 3.307
-1.665 4.484 -1.071
Mn Au
1 2
Direct
0.000 0.000 0.000 Mn
0.661 0.661 0.322 Au
0.339 0.339 0.678 Au
```

Results
E above lowest polymorph: 0 meV per atom
Total energy: -157.88 eV per formula unit
E_form: -438 meV/atom
Total moment: 4.102 μB/f.u.

Record 19
Compound: LaSc3Pt
Source: the Alexandria database
Functional: meta-GGA SCAN
Structure: single point on PBEsol structure

POSCAR file:
```
LaSc3Pt
1.0
-4.023 -1.050 -2.668
-1.143 -3.629 3.151
-2.630 3.183 2.712
Sc Pt La
3 1 1
Direct
0.000 0.500 0.000 Sc
0.000 0.000 0.500 Sc
0.500 0.000 0.000 Sc
0.500 0.500 0.500 Pt
0.000 0.000 0.000 La
```

Results
Total energy: -150.97 eV per formula unit
E_form: 1008 meV/atom
Total moment: 0.000 μB/f.u.

Record 20
Compound: MgCu2
Source: the Alexandria database
Functional: meta-GGA SCAN
Structure: single point on PBEsol structure

POSCAR file:
```
MgCu2
1.0
-4.780 -0.853 -0.588
-1.527 -4.364 -1.594
-2.335 -3.035 3.043
Mg Cu
2 4
Direct
0.750 0.750 0.750 Mg
0.500 0.500 0.500 Mg
0.125 0.625 0.125 Cu
0.125 0.125 0.625 Cu
0.625 0.125 0.125 Cu
0.125 0.125 0.125 Cu
```

Results
Total energy: -35.91 eV per formula unit
E_form: -180 meV/atom
Total moment: 0.000 μB/f.u.